[1]
Entry from Alexandria: BeNb2TcIr after structural relaxation (PBE).

Cell lengths 4.874, 4.874, 3.977 Å; angles 90.00, 90.00, 90.00 degrees
Atoms (fractional coordinates):
Be  0.000  0.000  0.000
Nb  0.000  0.500  0.500
Nb  0.500  0.000  0.500
Tc  0.500  0.500  0.000
Ir  0.000  0.000  0.500

Computed properties:
Formation enthalpy at 0 K: 0.98 eV per atom
D(E_F): 5.07 states/eV/cell
Magnetization: 0.2 μB/f.u.
Crystal system: tetragonal
Mass density: 8525 kg/m³

=====

[2]
Entry from Alexandria: TiBe2Nb2Ir5 after structural relaxation (PBE).

Cell lengths 9.155, 9.155, 3.357 Å; angles 90.00, 90.00, 90.00 degrees
Atoms (fractional coordinates):
Ti  0.000  0.000  0.000
Ti  0.500  0.500  0.000
Be  0.122  0.378  0.000
Be  0.378  0.878  0.000
Be  0.622  0.122  0.000
Be  0.878  0.622  0.000
Nb  0.175  0.675  0.000
Nb  0.325  0.175  0.000
Nb  0.675  0.825  0.000
Nb  0.825  0.325  0.000
Ir  0.000  0.500  0.500
Ir  0.072  0.210  0.500
Ir  0.210  0.928  0.500
Ir  0.290  0.428  0.500
Ir  0.428  0.710  0.500
Ir  0.500  0.000  0.500
Ir  0.572  0.290  0.500
Ir  0.710  0.572  0.500
Ir  0.790  0.072  0.500
Ir  0.928  0.790  0.500

Computed properties:
Formation enthalpy at 0 K: -0.64 eV per atom
D(E_F): 14.28 states/eV/cell
Magnetization: 0.0 μB/f.u.
Crystal system: tetragonal
Mass density: 14317 kg/m³

=====

[3]
Entry from Alexandria: NdBe2Ir after structural relaxation (PBE).

Cell lengths 3.907, 3.907, 10.115 Å; angles 90.00, 90.00, 120.00 degrees
Atoms (fractional coordinates):
Nd  0.333  0.667  0.250
Nd  0.667  0.333  0.750
Be  0.333  0.667  0.541
Be  0.333  0.667  0.959
Be  0.667  0.333  0.041
Be  0.667  0.333  0.459
Ir  0.000  0.000  0.000
Ir  0.000  0.000  0.500

Computed properties:
Formation enthalpy at 0 K: -0.44 eV per atom
D(E_F): 5.70 states/eV/cell
Magnetization: 0.0 μB/f.u.
Polymorph energy (0 for the lowest one): 0.08 eV per formula unit
Crystal system: hexagonal
Mass density: 8807 kg/m³

=====

[4]
Entry from Alexandria: NdBe2Ir after structural relaxation (PBE).

Cell lengths 3.919, 3.919, 15.006 Å; angles 90.00, 90.00, 120.00 degrees
Atoms (fractional coordinates):
Nd  0.000  0.000  0.000
Nd  0.333  0.667  0.667
Nd  0.667  0.333  0.333
Be  0.000  0.000  0.193
Be  0.000  0.000  0.807
Be  0.333  0.667  0.473
Be  0.333  0.667  0.860
Be  0.667  0.333  0.140
Be  0.667  0.333  0.527
Ir  0.000  0.000  0.500
Ir  0.333  0.667  0.167
Ir  0.667  0.333  0.833

Computed properties:
Formation enthalpy at 0 K: -0.46 eV per atom
D(E_F): 5.40 states/eV/cell
Magnetization: 0.0 μB/f.u.
Polymorph energy (0 for the lowest one): 0.00 eV per formula unit
Crystal system: trigonal
Mass density: 8847 kg/m³

=====

[5]
Entry from Alexandria: Nd2BeIr after structural relaxation (PBE).

Cell lengths 4.026, 4.026, 21.619 Å; angles 90.00, 90.00, 120.00 degrees
Atoms (fractional coordinates):
Nd  0.000  0.000  0.000
Nd  0.000  0.000  0.177
Nd  0.333  0.667  0.667
Nd  0.333  0.667  0.843
Nd  0.667  0.333  0.333
Nd  0.667  0.333  0.510
Be  0.000  0.000  0.421
Be  0.333  0.667  0.088
Be  0.667  0.333  0.755
Ir  0.000  0.000  0.755
Ir  0.333  0.667  0.422
Ir  0.667  0.333  0.089

Computed properties:
Formation enthalpy at 0 K: -0.45 eV per atom
D(E_F): 10.87 states/eV/cell
Magnetization: 0.0 μB/f.u.
Crystal system: trigonal
Mass density: 8039 kg/m³

=====

[6]
Entry from Alexandria: NdBe3Ir after structural relaxation (PBE).

Cell lengths 4.317, 4.317, 4.317 Å; angles 90.00, 90.00, 90.00 degrees
Atoms (fractional coordinates):
Nd  0.000  0.000  0.000
Be  0.000  0.500  0.500
Be  0.500  0.000  0.500
Be  0.500  0.500  0.000
Ir  0.500  0.500  0.500

Computed properties:
Formation enthalpy at 0 K: -0.33 eV per atom
D(E_F): 1.62 states/eV/cell
Magnetization: 0.0 μB/f.u.
Crystal system: cubic
Mass density: 7504 kg/m³

=====

[7]
Entry from Alexandria: Nd2BeP3Ir4 after structural relaxation (PBE).

Cell lengths 4.107, 4.107, 9.732 Å; angles 90.00, 90.00, 90.00 degrees
Atoms (fractional coordinates):
Nd  0.000  0.500  0.241
Nd  0.500  0.000  0.759
Be  0.500  0.500  0.000
P  0.000  0.000  0.000
P  0.000  0.500  0.641
P  0.500  0.000  0.359
Ir  0.000  0.000  0.500
Ir  0.000  0.500  0.882
Ir  0.500  0.000  0.118
Ir  0.500  0.500  0.500

Computed properties:
Formation enthalpy at 0 K: -0.94 eV per atom
D(E_F): 4.34 states/eV/cell
Magnetization: 0.0 μB/f.u.
Crystal system: tetragonal
Mass density: 11726 kg/m³

=====

[8]
Entry from Alexandria: NdBePIr after structural relaxation (PBE).

Cell lengths 4.017, 4.017, 8.914 Å; angles 90.00, 90.00, 90.00 degrees
Atoms (fractional coordinates):
Nd  0.250  0.250  0.201
Nd  0.750  0.750  0.799
Be  0.250  0.250  0.631
Be  0.750  0.750  0.369
P  0.250  0.250  0.869
P  0.750  0.750  0.131
Ir  0.250  0.750  0.500
Ir  0.750  0.250  0.500

Computed properties:
Formation enthalpy at 0 K: -0.81 eV per atom
D(E_F): 4.36 states/eV/cell
Magnetization: 0.0 μB/f.u.
Crystal system: tetragonal
Mass density: 8691 kg/m³